# Mo2PPt

An optimized crystal structure of Mo2PPt (PBE, Alexandria via LeMat-Bulk).

VASP energy: -8.293 eV/atom
Space group: No. 25
Total moment: 0.0 Bohr magnetons per cell
Energy relative to the elements: -0.0145 eV per atom

Cell: 2.8382 3.9595 5.4573 Å, 90.00 90.00 90.00°
With the nearest neighbours (Å) after each atom.
Fractional coordinates of all 4 atoms:
Mo 0.0000 0.0000 0.0000  4 Pt 2.63, 2 P 2.72-2.74, 2 Mo 2.84
Mo 0.5000 0.5000 0.3399  4 P 2.58, 2 Pt 2.60-2.86, 2 Mo 2.84
P 0.0000 0.0000 0.4981  6 Mo 2.58-2.74, 2 P 2.84
Pt 0.5000 0.5000 0.8166  6 Mo 2.60-2.86, 2 Pt 2.84

# Mo2PPt

An optimized crystal structure of Mo2PPt (PBE, Alexandria via LeMat-Bulk).

VASP energy: -8.539 eV/atom
Space group: No. 44
Total moment: 0.0 Bohr magnetons per cell
Energy relative to the elements: -0.2610 eV per atom

Cell: 5.1767 5.1767 5.1767 Å, 146.40 129.35 62.16°
With the nearest neighbours (Å) after each atom.
Fractional coordinates of all 4 atoms:
Mo 0.0000 0.0000 0.0000  4 P 2.67, 4 Pt 2.88-2.96, 6 Mo 2.90-2.99
Mo 0.7110 0.2110 0.5000  2 P 2.44
P 0.4943 0.4943 0.0000  2 Pt 2.43, 6 Mo 2.44-2.67
Pt 0.2779 0.7779 0.5000  2 P 2.43

# Mo2PPt

An optimized crystal structure of Mo2PPt (PBE, Alexandria via LeMat-Bulk).

VASP energy: -8.382 eV/atom
Space group: No. 99
Total moment: 0.0 Bohr magnetons per cell
Energy relative to the elements: -0.1038 eV per atom

Cell: 2.9764 2.9764 6.8372 Å, 90.00 90.00 90.00°
With the nearest neighbours (Å) after each atom.
Fractional coordinates of all 4 atoms:
Mo 0.0000 0.0000 0.0000  4 Pt 2.82, 8 Mo 2.86-2.98, 1 P 3.11
Mo 0.5000 0.5000 0.2825  4 P 2.41
P 0.0000 0.0000 0.4550  4 Mo 2.41
Pt 0.5000 0.5000 0.7261  4 P 2.80, 5 Mo 2.82-3.03, 4 Pt 2.98